# PBE Sc3Ga2Tc, relaxed
# - ΔH_f (0 K) (meV per atom) = -543.3
# - DOS at the Fermi energy (states/eV/f.u.) = 2.98
# - final energy (Ry/atom) = -0.47375
data_Sc3Ga2Tc
_chemical_formula_sum 'Sc6 Ga4 Tc2'
_space_group_name_H-M_alt 'P 1'
_space_group_IT_number 1
_cell_length_a 4.6008
_cell_length_b 13.8222
_cell_length_c 3.4461
_cell_angle_alpha 90.00
_cell_angle_beta 90.00
_cell_angle_gamma 90.00
loop_
_space_group_symop_operation_xyz
'x,y,z'
loop_
_atom_site_label
_atom_site_type_symbol
_atom_site_fract_x
_atom_site_fract_y
_atom_site_fract_z
_atom_site_occupancy
Sc1 Sc 0.0000 0.0000 0.0000 1
Sc2 Sc 0.0000 0.3385 0.0000 1
Sc3 Sc 0.0000 0.6615 0.0000 1
Sc4 Sc 0.5000 0.1615 0.0000 1
Sc5 Sc 0.5000 0.5000 0.0000 1
Sc6 Sc 0.5000 0.8385 0.0000 1
Ga1 Ga 0.0000 0.1590 0.5000 1
Ga2 Ga 0.0000 0.8410 0.5000 1
Ga3 Ga 0.5000 0.3410 0.5000 1
Ga4 Ga 0.5000 0.6590 0.5000 1
Tc1 Tc 0.0000 0.5000 0.5000 1
Tc2 Tc 0.5000 0.0000 0.5000 1

=====

# PBE Sc2Ga3Tc, relaxed
# - ΔH_f (0 K) (meV per atom) = -265.6
# - polymorph energy (0 for the lowest one) (meV/atom) = 283
# - DOS at the Fermi energy (states/eV/f.u.) = 3.43
# - final energy (Ry/atom) = -0.41286
data_Sc2Ga3Tc
_chemical_formula_sum 'Sc4 Ga6 Tc2'
_space_group_name_H-M_alt 'P 1'
_space_group_IT_number 1
_cell_length_a 4.5851
_cell_length_b 5.2743
_cell_length_c 9.2038
_cell_angle_alpha 90.00
_cell_angle_beta 90.00
_cell_angle_gamma 90.00
loop_
_space_group_symop_operation_xyz
'x,y,z'
loop_
_atom_site_label
_atom_site_type_symbol
_atom_site_fract_x
_atom_site_fract_y
_atom_site_fract_z
_atom_site_occupancy
Sc1 Sc 0.0000 0.0000 0.1918 1
Sc2 Sc 0.0000 0.0000 0.8082 1
Sc3 Sc 0.5000 0.5000 0.3082 1
Sc4 Sc 0.5000 0.5000 0.6918 1
Ga1 Ga 0.0000 0.5000 0.1383 1
Ga2 Ga 0.0000 0.5000 0.5000 1
Ga3 Ga 0.0000 0.5000 0.8617 1
Ga4 Ga 0.5000 0.0000 0.0000 1
Ga5 Ga 0.5000 0.0000 0.3617 1
Ga6 Ga 0.5000 0.0000 0.6383 1
Tc1 Tc 0.0000 0.0000 0.5000 1
Tc2 Tc 0.5000 0.5000 0.0000 1

=====

# PBE ScGa3Tc2, relaxed
# - ΔH_f (0 K) (meV per atom) = -107.7
# - DOS at the Fermi energy (states/eV/f.u.) = 3.74
# - final energy (Ry/atom) = -0.45067
data_ScGa3Tc2
_chemical_formula_sum 'Sc2 Ga6 Tc4'
_space_group_name_H-M_alt 'P 1'
_space_group_IT_number 1
_cell_length_a 5.3386
_cell_length_b 5.3386
_cell_length_c 6.7805
_cell_angle_alpha 96.18
_cell_angle_beta 96.18
_cell_angle_gamma 93.91
loop_
_space_group_symop_operation_xyz
'x,y,z'
loop_
_atom_site_label
_atom_site_type_symbol
_atom_site_fract_x
_atom_site_fract_y
_atom_site_fract_z
_atom_site_occupancy
Sc1 Sc 0.0650 0.9350 0.7500 1
Sc2 Sc 0.9350 0.0650 0.2500 1
Ga1 Ga 0.1819 0.3593 0.0051 1
Ga2 Ga 0.3593 0.1819 0.5051 1
Ga3 Ga 0.4105 0.5895 0.7500 1
Ga4 Ga 0.5895 0.4105 0.2500 1
Ga5 Ga 0.6407 0.8181 0.4949 1
Ga6 Ga 0.8181 0.6407 0.9949 1
Tc1 Tc 0.1336 0.6121 0.3785 1
Tc2 Tc 0.3879 0.8664 0.1215 1
Tc3 Tc 0.6121 0.1336 0.8785 1
Tc4 Tc 0.8664 0.3879 0.6215 1

=====

# PBE ScGaTc2, relaxed
# - ΔH_f (0 K) (meV per atom) = 362.1
# - DOS at the Fermi energy (states/eV/f.u.) = 4.35
# - final energy (Ry/atom) = -0.52629
data_ScGaTc2
_chemical_formula_sum 'Sc4 Ga4 Tc8'
_space_group_name_H-M_alt 'P 1'
_space_group_IT_number 1
_cell_length_a 7.1797
_cell_length_b 7.1797
_cell_length_c 5.3420
_cell_angle_alpha 90.00
_cell_angle_beta 90.00
_cell_angle_gamma 90.00
loop_
_space_group_symop_operation_xyz
'x,y,z'
loop_
_atom_site_label
_atom_site_type_symbol
_atom_site_fract_x
_atom_site_fract_y
_atom_site_fract_z
_atom_site_occupancy
Sc1 Sc 0.0000 0.0000 0.0000 1
Sc2 Sc 0.0000 0.5000 0.2500 1
Sc3 Sc 0.5000 0.0000 0.7500 1
Sc4 Sc 0.5000 0.5000 0.5000 1
Ga1 Ga 0.0000 0.0000 0.5000 1
Ga2 Ga 0.0000 0.5000 0.7500 1
Ga3 Ga 0.5000 0.0000 0.2500 1
Ga4 Ga 0.5000 0.5000 0.0000 1
Tc1 Tc 0.2180 0.2500 0.6250 1
Tc2 Tc 0.2500 0.7180 0.8750 1
Tc3 Tc 0.2500 0.7820 0.3750 1
Tc4 Tc 0.2820 0.2500 0.1250 1
Tc5 Tc 0.7180 0.7500 0.1250 1
Tc6 Tc 0.7500 0.2180 0.3750 1
Tc7 Tc 0.7500 0.2820 0.8750 1
Tc8 Tc 0.7820 0.7500 0.6250 1

=====

| no. | magnetization (μB per formula unit) |
| --- | --- |
| 1 | 0.000 |
| 2 | 0.000 |
| 3 | 0.000 |
| 4 | 0.004 |